No. 1
Below is crystalline CoPdBr3 at its relaxed geometry, with properties calculated at the PBE level.

Results
As for the total energy: -2.9709 eV per atom. The density of states at the Fermi level is 7.37 states/eV/f.u.

Lattice parameters (Å, degrees): 5.1307 5.1307 5.1307 90.00 90.00 90.00
Atoms (fractional coordinates):
Br 0.5000 0.0000 0.0000
Pd 0.0000 0.0000 0.0000
Br 0.0000 0.5000 0.0000
Br 0.0000 0.0000 0.5000
Co 0.5000 0.5000 0.5000

No. 2
Below is crystalline CoPdBr6 at its relaxed geometry, with properties calculated at the PBE level.

Results
As for the total energy: -2.9918 eV per atom. The density of states at the Fermi level is 9.40 states/eV/f.u.

Lattice parameters (Å, degrees): 6.5141 6.5115 6.6389 60.63 78.46 65.93
Atoms (fractional coordinates):
Br 0.2208 0.2212 0.0000
Br 0.7547 0.3901 0.7096
Br 0.2453 0.6099 0.2904
Pd 0.5000 0.5000 0.0000
Br 0.7547 0.0997 0.2904
Br 0.7792 0.7788 0.0000
Co 0.0000 0.0000 0.0000
Br 0.2453 0.9003 0.7096

No. 3
Below is crystalline CoPd2Br8 at its relaxed geometry, with properties calculated at the PBE level.

Results
As for the total energy: -2.9373 eV per atom. The density of states at the Fermi level is 9.38 states/eV/f.u.

Lattice parameters (Å, degrees): 9.2255 7.1176 8.0425 99.98 90.00 130.40
Atoms (fractional coordinates):
Pd 0.1324 0.2648 0.3922
Br 0.0399 0.7211 0.8568
Br 0.3592 0.7183 0.5067
Pd 0.8676 0.7352 0.6078
Br 0.6408 0.2817 0.4933
Br 0.8909 0.7819 0.3010
Co 0.0000 0.0000 0.0000
Br 0.9601 0.2789 0.1432
Br 0.6811 0.7211 0.8568
Br 0.1091 0.2181 0.6990
Br 0.3189 0.2789 0.1432